Density functional theory data (PBE) for a relaxed Ba7SrIn4 crystal.

Geometry as extended XYZ:
```
12
Lattice="8.116 -3.268 0.000 8.116 3.268 0.000 -7.428 0.000 10.332" Properties=species:S:1:pos:R:3 pbc="T T T"
Ba 0.000 0.000 0.000
Ba -1.707 0.000 6.425
Ba 3.631 0.000 1.215
Ba 2.247 0.000 6.445
Ba 6.557 0.000 3.888
Ba 5.173 0.000 9.117
Ba 10.512 0.000 3.907
Sr 8.116 0.000 0.000
In -4.920 0.000 7.977
In 0.424 0.000 3.401
In 8.381 0.000 6.932
In 13.725 0.000 2.355
```

Total DFT energy (no corrections) in eV/atom: -2.36
Crystal system: monoclinic
Energy relative to the elements in meV per atom: -187
Spin magnetization in μB per cell: 0.3